# TaTcSb3

A geometry-optimized TaTcSb3 structure (GGA-PBEsol, Alexandria via LeMat-Bulk).

Cell lengths 5.2469, 5.2469, 5.2469 Å; angles 90.00, 90.00, 90.00 degrees
Last column: nearest neighbours and their distance in Å.
Space group Pm-3m (No. 221)
Unique sites:
1 Ta 0.0000 0.0000 0.0000  6 Sb 2.62
2 Tc 0.5000 0.5000 0.5000  12 Sb 3.71
3 Sb 0.0000 0.0000 0.5000  2 Ta 2.62

***

# TaSbTe

A geometry-optimized TaSbTe structure (GGA-PBEsol, Alexandria via LeMat-Bulk).

Cell lengths 6.7443, 6.7443, 6.7443 Å; angles 90.00, 90.00, 90.00 degrees
Last column: nearest neighbours and their distance in Å.
Space group F-43m (No. 216)
Unique sites:
1 Ta 0.0000 0.0000 0.0000  4 Te 2.92, 4 Sb 2.92
2 Sb 0.2500 0.2500 0.7500  4 Ta 2.92
3 Te 0.2500 0.2500 0.2500  4 Ta 2.92

***

# TaSb2Te

A geometry-optimized TaSb2Te structure (GGA-PBEsol, Alexandria via LeMat-Bulk).

Cell lengths 3.4948, 3.4948, 7.6038 Å; angles 90.00, 90.00, 90.00 degrees
Last column: nearest neighbours and their distance in Å.
Space group P4mm (No. 99)
Unique sites:
1 Ta 0.0000 0.0000 0.0000  4 Sb 2.90, 4 Te 2.96
2 Sb 0.0000 0.0000 0.5599  4 Sb 3.08, 1 Ta 3.35
3 Sb 0.5000 0.5000 0.8008  4 Ta 2.90, 4 Sb 3.08, 1 Te 3.15
4 Te 0.5000 0.5000 0.2145  4 Ta 2.96, 1 Sb 3.15

***

# TaSb2Te

A geometry-optimized TaSb2Te structure (GGA-PBEsol, Alexandria via LeMat-Bulk).

Cell lengths 3.4781, 4.5250, 13.0845 Å; angles 90.00, 90.00, 90.00 degrees
Last column: nearest neighbours and their distance in Å.
Space group Imm2 (No. 44)
Unique sites:
1 Ta 0.0000 0.0000 0.0000  2 Te 2.80, 6 Sb 2.87-2.99
2 Sb 0.0000 0.0000 0.4736  4 Ta 2.87, 2 Sb 3.08
3 Sb 0.0000 0.5000 0.3144  2 Ta 2.99, 2 Sb 3.08
4 Te 0.0000 0.5000 0.6674  2 Ta 2.80

***

# TaSb2Te

A geometry-optimized TaSb2Te structure (GGA-PBEsol, Alexandria via LeMat-Bulk).

Cell lengths 6.2689, 8.3803, 3.4400 Å; angles 90.00, 90.00, 90.00 degrees
Last column: nearest neighbours and their distance in Å.
Space group Cmmm (No. 65)
Unique sites:
1 Ta 0.0000 0.0000 0.0000  8 Sb 3.13, 2 Te 3.13, 2 Ta 3.44
2 Sb 0.2500 0.2500 0.5000  4 Ta 3.13, 4 Te 3.13, 4 Sb 3.13-3.44
3 Te 0.0000 0.5000 0.0000  8 Sb 3.13, 2 Ta 3.13, 2 Te 3.44

***

# Ta4SbTe

A geometry-optimized Ta4SbTe structure (GGA-PBEsol, Alexandria via LeMat-Bulk).

Cell lengths 7.8264, 7.8264, 7.8264 Å; angles 90.00, 90.00, 90.00 degrees
Last column: nearest neighbours and their distance in Å.
Space group F-43m (No. 216)
Unique sites:
1 Ta 0.1244 0.1244 0.1244  6 Ta 2.75-2.78
2 Sb 0.2500 0.2500 0.7500  12 Ta 3.24, 4 Te 3.39
3 Te 0.0000 0.0000 0.5000  12 Ta 3.25, 4 Sb 3.39

***

# TaSb2Te

A geometry-optimized TaSb2Te structure (GGA-PBEsol, Alexandria via LeMat-Bulk).

Cell lengths 3.4162, 4.7123, 12.2682 Å; angles 90.00, 90.00, 90.00 degrees
Last column: nearest neighbours and their distance in Å.
Space group Immm (No. 71)
Unique sites:
1 Ta 0.0000 0.0000 0.0000  4 Sb 2.90, 4 Te 2.91
2 Sb 0.0000 0.5000 0.3090  2 Ta 2.90
3 Te 0.0000 0.0000 0.5000  4 Ta 2.91

***

# TaTiSbTe2

A geometry-optimized TaTiSbTe2 structure (GGA-PBEsol, Alexandria via LeMat-Bulk).

Cell lengths 5.3120, 5.3120, 5.3013 Å; angles 90.00, 90.00, 90.00 degrees
Last column: nearest neighbours and their distance in Å.
Space group P4/mmm (No. 123)
Unique sites:
1 Ta 0.0000 0.0000 0.0000  2 Sb 2.65, 4 Te 2.66
2 Ti 0.5000 0.5000 0.5000  8 Te 3.75, 4 Sb 3.76
3 Sb 0.0000 0.0000 0.5000  2 Ta 2.65
4 Te 0.0000 0.5000 0.0000  2 Ta 2.66

***

# YTaSbTe2

A geometry-optimized YTaSbTe2 structure (GGA-PBEsol, Alexandria via LeMat-Bulk).

Cell lengths 5.3145, 5.3145, 5.3499 Å; angles 90.00, 90.00, 90.00 degrees
Last column: nearest neighbours and their distance in Å.
Space group P4/mmm (No. 123)
Unique sites:
1 Y 0.0000 0.0000 0.0000  4 Sb 3.76, 8 Te 3.77
2 Ta 0.5000 0.5000 0.5000  4 Te 2.66, 2 Sb 2.67
3 Sb 0.5000 0.5000 0.0000  2 Ta 2.67
4 Te 0.0000 0.5000 0.5000  2 Ta 2.66

***

# YTaSb2Te

A geometry-optimized YTaSb2Te structure (GGA-PBEsol, Alexandria via LeMat-Bulk).

Cell lengths 5.5536, 5.5536, 5.5423 Å; angles 90.00, 90.00, 90.00 degrees
Last column: nearest neighbours and their distance in Å.
Space group P4/mmm (No. 123)
Unique sites:
1 Y 0.0000 0.0000 0.0000  2 Te 2.77, 4 Sb 2.78
2 Ta 0.5000 0.5000 0.5000  8 Sb 3.92, 4 Te 3.93
3 Sb 0.0000 0.5000 0.0000  2 Y 2.78
4 Te 0.0000 0.0000 0.5000  2 Y 2.77

***

Number 1: raw formation energy 1.341 eV/atom, total moment 0.7521 μB/atom. Number 2: raw formation energy 0.308 eV/atom, total moment 0.2678 μB/atom. Number 3: raw formation energy -0.009 eV/atom, total moment 0.0000 μB/atom. Number 4: raw formation energy 0.189 eV/atom, total moment 0.0003 μB/atom. Number 5: raw formation energy 0.484 eV/atom, total moment 0.0000 μB/atom. Number 6: raw formation energy 0.451 eV/atom, total moment 0.0001 μB/atom. Number 7: raw formation energy 0.262 eV/atom, total moment 0.0002 μB/atom. Number 8: raw formation energy 0.712 eV/atom, total moment 0.4962 μB/atom. Number 9: raw formation energy 0.088 eV/atom, total moment 0.0000 μB/atom. Number 10: raw formation energy 1.230 eV/atom, total moment 0.5552 μB/atom.